(1)
# CeBiPdRh

A relaxed CeBiPdRh crystal (PBE, Alexandria via LeMat-Bulk).

Geometry as extended XYZ:
```
4
Lattice="4.9179 0.0000 0.0000 2.4590 4.2590 0.0000 2.4590 1.4197 4.0154" Properties=species:S:1:pos:R:3 pbc="T T T"
Rh 4.9179 2.8394 2.0077
Ce 7.3769 4.2590 3.0116
Pd 0.0000 0.0000 0.0000
Bi 2.4590 1.4197 1.0039
```

Output
SG	F-43m, No. 216
energy	-6.1461	eV per atom


(2)
# Ce2BiSb3Pd4

A relaxed Ce2BiSb3Pd4 crystal (PBE, Alexandria via LeMat-Bulk).

Geometry as extended XYZ:
```
10
Lattice="4.6191 0.0000 0.0000 0.0000 4.6191 0.0000 0.0000 0.0000 10.9721" Properties=species:S:1:pos:R:3 pbc="T T T"
Sb 2.3096 0.0000 9.5783
Sb 0.0000 0.0000 5.4860
Sb 0.0000 2.3096 1.3938
Ce 0.0000 2.3096 8.4761
Ce 2.3096 0.0000 2.4959
Pd 0.0000 2.3096 3.9661
Pd 0.0000 0.0000 0.0000
Pd 2.3096 2.3096 0.0000
Pd 2.3096 0.0000 7.0059
Bi 2.3096 2.3096 5.4860
```

Output
SG	P-4m2, No. 115
ΔE_f (raw)	-0.720	eV/atom